The following is a DFT calculation (PBE) of a relaxed structure of Ca2CuTcTe.

Calculated values
As for the symmetry: No. 123.

Cell lengths 5.849, 5.849, 4.770 Å; angles 90.00, 90.00, 90.00 degrees
Element x y z (fractional)
Ca 0.000 0.500 0.000
Ca 0.500 0.000 0.000
Cu 0.000 0.000 0.500
Tc 0.500 0.500 0.500
Te 0.000 0.000 0.000

***

The following is a DFT calculation (PBE) of a relaxed structure of CaCu2TcTe.

Calculated values
As for the symmetry: No. 123.

Cell lengths 4.835, 4.835, 4.978 Å; angles 90.00, 90.00, 90.00 degrees
Element x y z (fractional)
Ca 0.000 0.000 0.000
Cu 0.000 0.500 0.500
Cu 0.500 0.000 0.500
Tc 0.500 0.500 0.500
Te 0.500 0.500 0.000

***

The following is a DFT calculation (PBE) of a relaxed structure of CaCu3Te.

Calculated values
As for the symmetry: No. 221.

Cell lengths 4.958, 4.958, 4.958 Å; angles 90.00, 90.00, 90.00 degrees
Element x y z (fractional)
Ca 0.000 0.000 0.000
Cu 0.000 0.500 0.500
Cu 0.500 0.000 0.500
Cu 0.500 0.500 0.000
Te 0.500 0.500 0.500

***

For each record above, in turn, the calculated raw formation energy values are 0.68; 0.28; 0.38 eV per atom.
For each record above, in turn, the calculated total magnetization values are 0.495; 0.000; 0.000 μB per atom.